## Sm2ScTl3S6 (PBE)

Data for a relaxed Sm2ScTl3S6 crystal.

Symmetry = C2/m (12)
Formation energy (no corrections) = -1424 meV per atom

Cell lengths 6.9672, 6.9672, 7.8445 Å; angles 98.52, 98.52, 119.92 degrees
Atoms (fractional coordinates):
Sm 0.1666 0.8334 0.0000
Sm 0.8334 0.1666 0.0000
Sc 0.5000 0.5000 0.0000
Tl 0.0000 0.0000 0.5000
Tl 0.3310 0.6690 0.5000
Tl 0.6690 0.3310 0.5000
S 0.1199 0.4345 0.8042
S 0.2512 0.2512 0.2004
S 0.4345 0.1199 0.8042
S 0.5655 0.8801 0.1958
S 0.7488 0.7488 0.7996
S 0.8801 0.5655 0.1958